A plane-wave DFT calculation with meta-GGA SCAN was carried out for a PBEsol-optimized structure of AlInAg.

abc: 3.141 4.266 4.764
angles: 107.07 109.35 89.78
Atoms (fractional coordinates):
Ag  0.999  0.976  0.998
In  0.332  0.331  0.666
Al  0.669  0.693  0.336

Computed properties:
formation energy: 0.06 eV/atom
space-group type: P1
M_tot: 0.000 μB/cell
DOS at the Fermi energy: 0.300 states/eV per atom
E_tot: -24.104 eV per atom